Entry from Alexandria via LeMat-Bulk: a relaxed structure of FeSiNi2 (PBE).

Cell lengths 3.460, 3.460, 8.538 Å; angles 78.31, 78.31, 90.00 degrees
Site moments in Bohr magnetons follow the coordinates.
Positions (direct):
Ni 0.618 0.125 0.250  0.29
Ni 0.132 0.625 0.250  0.28
Ni 0.375 0.382 0.750  0.32
Ni 0.875 0.868 0.750  0.30
Si 0.500 0.500 0.000  -0.04
Si 0.250 0.750 0.500  -0.04
Fe 0.000 0.000 0.000  2.26
Fe 0.750 0.250 0.500  2.26

## Properties
- E_form (uncorrected) (eV/atom) = 0.0769
- crystal system = tetragonal